Compound: Nd4SnI5
Source: OQMD via LeMat-Bulk
Functional: PBE-GGA
Structure: relaxed

Calculated values
total energy	-42.5	eV/cell
SG	No. 12
total moment	0.0	μB per formula unit

a = 10.119 Å, b = 10.119 Å, c = 9.220 Å
α = 101.81°, β = 101.81°, γ = 25.25°
Fractional positions:
Nd1 0.001 0.001 0.228
Nd2 0.345 0.345 0.924
Nd3 0.655 0.655 0.076
Nd4 0.999 0.999 0.772
Sn1 0.500 0.500 0.000
I1 0.167 0.167 0.332
I2 0.170 0.170 0.826
I3 0.500 0.500 0.500
I4 0.830 0.830 0.174
I5 0.833 0.833 0.668

***

Compound: Ag2B
Source: OQMD via LeMat-Bulk
Functional: PBE-GGA
Structure: relaxed

Calculated values
SG	No. 227
distance to the lowest polymorph of the same formula	0.44	eV per formula unit

a = 5.358 Å, b = 5.358 Å, c = 5.358 Å
α = 60.00°, β = 60.00°, γ = 60.00°
Fractional positions:
Ag1 0.000 0.000 0.000
Ag2 0.000 0.000 0.500
Ag3 0.000 0.500 0.000
Ag4 0.500 0.000 0.000
B1 0.375 0.375 0.375
B2 0.625 0.625 0.625

***

Compound: Li2ErNiP2
Source: OQMD via LeMat-Bulk
Functional: PBE-GGA
Structure: relaxed

Calculated values
total energy	-29.2	eV/cell
SG	No. 164
total moment	0.8	μB per formula unit

a = 3.978 Å, b = 3.978 Å, c = 6.246 Å
α = 90.00°, β = 90.00°, γ = 120.00°
Fractional positions:
Li1 0.333 0.667 0.149
Li2 0.667 0.333 0.851
Er1 0.000 0.000 0.500
Ni1 0.000 0.000 0.000
P1 0.333 0.667 0.763
P2 0.667 0.333 0.237